DyPu2Th3S6 | GGA-PBE | optimized geometry

a b c (Å): 6.839 6.839 7.012
angles (deg): 99.35 99.35 119.94
Fractional coordinates of all 12 atoms:
Dy 0.000 0.000 0.000
Pu 0.333 0.667 0.000
Pu 0.667 0.333 0.000
Th 0.167 0.833 0.500
Th 0.500 0.500 0.500
Th 0.833 0.167 0.500
S 0.079 0.411 0.237
S 0.253 0.253 0.763
S 0.411 0.079 0.237
S 0.589 0.921 0.763
S 0.747 0.747 0.237
S 0.921 0.589 0.763

Summary:
For the total DFT energy (no corrections), the calculation gives -8.545 eV/atom. The formation energy without anion corrections comes out at -1854 meV per atom. As for the volume: 22.4 A^3/atom.